[1]
Compound: Li5Pm3S12
Source: Alexandria via LeMat-Bulk
Functional: GGA-PBE
Structure: optimized geometry

Unit cell a=16.0409 b=16.0409 c=16.0409 alpha=90.00 beta=90.00 gamma=90.00
Space group Ia-3d (No. 230)
Unique sites:
Li1 0.0000 0.0000 0.0000
Li2 0.0000 0.2500 0.3750
Pm1 0.0000 0.2500 0.1250
S1 0.0189 0.0882 0.6835

Values from the calculation:
DOS(E_F) (states/eV/f.u.): 7.98
Size of the total moment (μB per formula unit): 0.0
Uncorrected formation energy (eV/atom): -0.964



[2]
Compound: Li5Mg2Cd2Hg
Source: Alexandria via LeMat-Bulk
Functional: GGA-PBE
Structure: optimized geometry

Unit cell a=10.5387 b=10.5387 c=3.6254 alpha=90.00 beta=90.00 gamma=90.00
Space group P4/mbm (No. 127)
Unique sites:
Li1 0.0000 0.5000 0.0000
Li2 0.0613 0.1879 0.0000
Mg1 0.1677 0.6677 0.5000
Cd1 0.1320 0.3680 0.5000
Hg1 0.0000 0.0000 0.5000

Values from the calculation:
DOS(E_F) (states/eV/f.u.): 3.22
E_form (eV/atom): -0.146
Size of the total moment (μB per formula unit): 0.0



[3]
Compound: Hf3Re2Ag
Source: Alexandria via LeMat-Bulk
Functional: GGA-PBE
Structure: optimized geometry

Unit cell a=3.2836 b=3.2836 c=10.3473 alpha=90.00 beta=90.00 gamma=90.00
Space group P4/mmm (No. 123)
Unique sites:
Hf1 0.0000 0.0000 0.0000
Hf2 0.0000 0.0000 0.3098
Re1 0.5000 0.5000 0.1636
Ag1 0.5000 0.5000 0.5000

Values from the calculation:
DOS(E_F) (states/eV/f.u.): 4.32
E_form (eV/atom): -0.284
Size of the total moment (μB per formula unit): 0.0



[4]
Compound: LiHf3Ta
Source: Alexandria via LeMat-Bulk
Functional: GGA-PBE
Structure: optimized geometry

Unit cell a=4.6539 b=4.6539 c=4.6539 alpha=90.00 beta=90.00 gamma=90.00
Space group Pm-3m (No. 221)
Unique sites:
Li1 0.0000 0.0000 0.0000
Hf1 0.0000 0.0000 0.5000
Ta1 0.5000 0.5000 0.5000

Values from the calculation:
DOS(E_F) (states/eV/f.u.): 11.90
E_form (eV/atom): 0.983
Size of the total moment (μB per formula unit): 0.9
Energy above the lowest structure with this stoichiometry (eV/atom): 0.000